## BeSiPb (GGA-PBE)

Data for BeSiPb after structural relaxation.

Results
* uncorrected formation energy: 0.3231 eV/atom

Cell and atoms, written as CIF:
```
data_BeSiPb
_chemical_formula_sum 'Be1 Si1 Pb1'
_symmetry_space_group_name_H-M 'P 1'
_symmetry_Int_Tables_number 1
_cell_length_a 3.9152
_cell_length_b 3.9152
_cell_length_c 4.4648
_cell_angle_alpha 90.00
_cell_angle_beta 90.00
_cell_angle_gamma 120.00
loop_
_symmetry_equiv_pos_as_xyz
'x,y,z'
loop_
_atom_site_label
_atom_site_fract_x
_atom_site_fract_y
_atom_site_fract_z
Pb1 0.6667 0.3333 0.3331
Si1 0.3333 0.6667 0.8333
Be1 0.0000 0.0000 0.8336
```

=====

## CdFeAg2 (GGA-PBE)

Data for CdFeAg2 after structural relaxation.

Results
* formation energy from the elements: 0.300 eV/atom

Cell and atoms, written as CIF:
```
data_CdFeAg2
_chemical_formula_sum 'Cd1 Fe1 Ag2'
_symmetry_space_group_name_H-M 'P 1'
_symmetry_Int_Tables_number 1
_cell_length_a 2.9752
_cell_length_b 4.8242
_cell_length_c 4.8320
_cell_angle_alpha 90.00
_cell_angle_beta 90.00
_cell_angle_gamma 90.00
loop_
_symmetry_equiv_pos_as_xyz
'x,y,z'
loop_
_atom_site_label
_atom_site_fract_x
_atom_site_fract_y
_atom_site_fract_z
Ag1 0.5000 0.5000 0.0000
Ag2 0.0000 0.0000 0.0000
Cd1 0.5000 0.0000 0.5000
Fe1 0.0000 0.5000 0.5000
```

=====

## NdDy2Fe (GGA-PBE)

Data for NdDy2Fe after structural relaxation.

Results
* formation energy from the elements: 0.079 eV/atom

Cell and atoms, written as CIF:
```
data_NdDy2Fe
_chemical_formula_sum 'Nd1 Dy2 Fe1'
_symmetry_space_group_name_H-M 'P 1'
_symmetry_Int_Tables_number 1
_cell_length_a 3.3724
_cell_length_b 3.3724
_cell_length_c 9.1410
_cell_angle_alpha 90.00
_cell_angle_beta 90.00
_cell_angle_gamma 90.00
loop_
_symmetry_equiv_pos_as_xyz
'x,y,z'
loop_
_atom_site_label
_atom_site_fract_x
_atom_site_fract_y
_atom_site_fract_z
Dy1 0.0000 0.0000 0.8246
Dy2 0.0000 0.0000 0.1754
Fe1 0.5000 0.5000 0.0000
Nd1 0.5000 0.5000 0.5000
```

=====

Looking at total magnetization for the records above, in order, we have 0.0; 2.8; 0.0 μB/cell.
Looking at N(E_F) for the records above, in order, we have 0.31; 2.93; 2.92 states/eV/cell.
Looking at volume for the records above, in order, we have 59.27; 69.35; 103.96 Å³/cell.